Compound: CaTb2Ho
Source: the Alexandria database
Functional: PBE
Structure: relaxed

Computed properties:
ρ	6.4	g/cm3
energy relative to the elements	0.153	eV/atom
distance to the lowest polymorph of the same formula	95	meV/atom
magnetization	0.0000	μB per atom
E	-3.807	eV per atom

a b c (Å): 3.5433 3.5433 12.7359
angles (deg): 82.00 82.00 60.00
Fractional positions:
Ca 0.0000 0.0000 0.0000
Tb 0.0916 0.0916 0.7251
Tb 0.9084 0.9084 0.2749
Ho 0.5000 0.5000 0.5000